[1]
Compound: AlTlTe2
Source: Alexandria via LeMat-Bulk
Functional: PBE
Structure: relaxed

Cell: 4.1395 4.1395 8.4646 Å, 75.85 75.85 60.00°
With the nearest neighbours (Å) after each atom.
Fractional coordinates of all 4 atoms:
Al (0.6670, 0.6670, 0.9991)  6 Te 2.83-2.85
Te (0.2697, 0.2697, 0.1909)  3 Al 2.85
Te (0.0627, 0.0627, 0.8119)  3 Al 2.83
Tl (0.5007, 0.5007, 0.4980)  6 Te 3.45-3.49

total moment = 0.00 μB/f.u.
energy relative to the elements, uncorrected = -0.36 eV/atom


[2]
Compound: AlPbICl4
Source: Alexandria via LeMat-Bulk
Functional: PBE
Structure: relaxed

Cell: 8.1044 8.1044 8.7246 Å, 77.80 77.80 70.48°
With the nearest neighbours (Å) after each atom.
Fractional coordinates of all 14 atoms:
I (0.9716, 0.9716, 0.7750)  2 Pb 3.04-3.08
I (0.0284, 0.0284, 0.2250)  2 Pb 3.04-3.08
Cl (0.8579, 0.5001, 0.8718)  1 Al 2.20
Cl (0.7492, 0.7492, 0.5034)  1 Al 2.15
Cl (0.2508, 0.2508, 0.4966)  1 Al 2.15
Cl (0.4999, 0.1421, 0.1282)  1 Al 2.20
Cl (0.1421, 0.4999, 0.1282)  1 Al 2.20
Cl (0.5001, 0.8579, 0.8718)  1 Al 2.20
Cl (0.4814, 0.4814, 0.7289)  1 Al 2.11
Cl (0.5186, 0.5186, 0.2711)  1 Al 2.11
Pb (0.8287, 0.8287, 0.1152)  3 Cl 3.01-3.28, 2 I 3.04-3.08
Pb (0.1713, 0.1713, 0.8848)  3 Cl 3.01-3.28, 2 I 3.04-3.08
Al (0.6400, 0.6400, 0.7329)  4 Cl 2.11-2.20
Al (0.3600, 0.3600, 0.2671)  4 Cl 2.11-2.20

total moment = 0.01 μB/f.u.
energy relative to the elements, uncorrected = -1.24 eV/atom


[3]
Compound: Tl2SbS2Cl2
Source: Alexandria via LeMat-Bulk
Functional: PBE
Structure: relaxed

Cell: 5.1497 5.1497 8.6965 Å, 107.22 107.22 90.00°
With the nearest neighbours (Å) after each atom.
Fractional coordinates of all 7 atoms:
Tl (0.6281, 0.6281, 0.2562)  1 Cl 3.26, 4 S 3.27
Tl (0.3719, 0.3719, 0.7438)  1 Cl 3.26, 4 S 3.27
Sb (0.0000, 0.0000, 0.0000)  4 S 2.57, 2 Cl 2.61
Cl (0.8345, 0.8345, 0.6690)  1 Sb 2.61
Cl (0.1655, 0.1655, 0.3310)  1 Sb 2.61
S (0.0000, 0.5000, 0.0000)  2 Sb 2.57
S (0.5000, 0.0000, 0.0000)  2 Sb 2.57

total moment = 0.00 μB/f.u.
energy relative to the elements, uncorrected = -0.54 eV/atom


VASP energy per entry: -0.1272 -0.1317 -0.1290 hartree per atom